# 1
{"formula": "Pr2ScAgSe5", "functional": "PBE-GGA", "state": "optimized geometry", "lattice_angstrom": [[2.0586, -8.7416, 0.0000], [2.0586, 8.7416, 0.0000], [0.0000, 0.0000, 12.3765]], "species": ["Pr", "Pr", "Pr", "Pr", "Sc", "Sc", "Ag", "Ag", "Se", "Se", "Se", "Se", "Se", "Se", "Se", "Se", "Se", "Se"], "fractional_positions": [[0.1108, 0.8892, 0.5000], [0.1276, 0.8724, 0.1196], [0.8724, 0.1276, 0.6196], [0.8892, 0.1108, 0.0000], [0.1944, 0.8056, 0.8246], [0.8056, 0.1944, 0.3246], [0.4394, 0.5606, 0.2679], [0.5606, 0.4394, 0.7679], [0.0508, 0.9492, 0.8889], [0.2852, 0.7148, 0.4736], [0.3030, 0.6970, 0.1646], [0.3536, 0.6464, 0.8141], [0.4962, 0.5038, 0.5835], [0.5038, 0.4962, 0.0835], [0.6464, 0.3536, 0.3141], [0.6970, 0.3030, 0.6646], [0.7148, 0.2852, 0.9736], [0.9492, 0.0508, 0.3889]], "e_form_raw_kj_per_mol_atoms": -145}


# 2
{"formula": "TlZn2Cu", "functional": "PBE-GGA", "state": "optimized geometry", "lattice_angstrom": [[3.1044, 0.0000, 0.0000], [-1.5522, 2.6885, 0.0000], [0.0000, 0.0000, 26.5448]], "species": ["Tl", "Tl", "Tl", "Zn", "Zn", "Zn", "Zn", "Zn", "Zn", "Cu", "Cu", "Cu"], "fractional_positions": [[0.0000, 0.0000, 0.0000], [0.3333, 0.6667, 0.6667], [0.6667, 0.3333, 0.3333], [0.0000, 0.0000, 0.2364], [0.0000, 0.0000, 0.7636], [0.3333, 0.6667, 0.4303], [0.3333, 0.6667, 0.9030], [0.6667, 0.3333, 0.0970], [0.6667, 0.3333, 0.5697], [0.0000, 0.0000, 0.5000], [0.3333, 0.6667, 0.1667], [0.6667, 0.3333, 0.8333]], "polymorph_energy_ev_per_fu": 0.30, "formation_enthalpy_0k_ev_per_fu": 0.81}


Number 1: electronic total energy -0.20298 hartree per atom. Number 2: electronic total energy -0.07536 hartree per atom.